La2Pm2Pb3 after structural relaxation, computed with PBE.

Cell lengths 4.676, 8.410, 8.087 Å; angles 106.01, 106.80, 90.00 degrees
Element x y z (fractional)
La 0.376 0.106 0.752
La 0.624 0.894 0.248
Pm 0.156 0.339 0.313
Pm 0.844 0.661 0.687
Pb 0.000 0.000 0.000
Pb 0.221 0.734 0.443
Pb 0.779 0.266 0.557

The calculation puts the formation energy at -0.319 eV/atom. For the size of the total moment, the calculation gives 0.00 μB per formula unit. The crystal system is monoclinic. The space group is C2/m (12). The total DFT energy (no corrections) is -4.67 eV per atom.

***

La2PmPb after structural relaxation, computed with PBE.

Cell lengths 5.711, 5.711, 5.711 Å; angles 60.00, 60.00, 60.00 degrees
Element x y z (fractional)
Pb 0.500 0.500 0.500
La 0.250 0.250 0.250
La 0.750 0.750 0.750
Pm 0.000 0.000 0.000

The distance to the lowest polymorph of the same formula is 189 meV per atom. The calculation puts the formation energy at -0.180 eV/atom. For the size of the total moment, the calculation gives 0.00 μB per formula unit. The crystal system is cubic. The space group is Fm-3m (225). The total DFT energy (no corrections) is -4.76 eV per atom.

***

LaPm2Pb9 after structural relaxation, computed with PBE.

Cell lengths 4.936, 4.936, 14.776 Å; angles 90.00, 90.00, 90.00 degrees
Element x y z (fractional)
La 0.000 0.000 0.000
Pm 0.000 0.000 0.333
Pm 0.000 0.000 0.667
Pb 0.500 0.500 0.000
Pb 0.500 0.500 0.334
Pb 0.500 0.500 0.666
Pb 0.500 0.000 0.169
Pb 0.500 0.000 0.500
Pb 0.500 0.000 0.831
Pb 0.000 0.500 0.169
Pb 0.000 0.500 0.500
Pb 0.000 0.500 0.831

The calculation puts the formation energy at -0.389 eV/atom. For the size of the total moment, the calculation gives 0.00 μB per formula unit. The crystal system is tetragonal. The space group is P4/mmm (123). The total DFT energy (no corrections) is -4.37 eV per atom.

***

La3Pm2Pb4 after structural relaxation, computed with PBE.

Cell lengths 5.066, 7.362, 10.497 Å; angles 121.94, 90.00, 110.12 degrees
Element x y z (fractional)
La 0.646 0.292 0.701
La 0.000 0.000 0.000
La 0.354 0.708 0.299
Pm 0.645 0.290 0.320
Pm 0.355 0.710 0.680
Pb 0.672 0.344 0.032
Pb 0.328 0.656 0.968
Pb 0.933 0.867 0.585
Pb 0.067 0.133 0.415

The distance to the lowest polymorph of the same formula is 49 meV per atom. The calculation puts the formation energy at -0.479 eV/atom. For the size of the total moment, the calculation gives 0.00 μB per formula unit. The crystal system is monoclinic. The space group is C2/m (12). The total DFT energy (no corrections) is -4.83 eV per atom.

***

LaPmPb2 after structural relaxation, computed with PBE.

Cell lengths 3.640, 3.640, 9.243 Å; angles 90.00, 90.00, 90.00 degrees
Element x y z (fractional)
Pb 0.000 0.000 0.756
Pb 0.000 0.000 0.244
La 0.500 0.500 0.500
Pm 0.500 0.500 0.000

The calculation puts the formation energy at -0.544 eV/atom. For the size of the total moment, the calculation gives 0.00 μB per formula unit. The crystal system is tetragonal. The space group is P4/mmm (123). The total DFT energy (no corrections) is -4.82 eV per atom.

***

La2PmPb9 after structural relaxation, computed with PBE.

Cell lengths 4.951, 4.951, 14.824 Å; angles 90.00, 90.00, 90.00 degrees
Element x y z (fractional)
La 0.000 0.000 0.333
La 0.000 0.000 0.667
Pm 0.000 0.000 0.000
Pb 0.500 0.500 0.000
Pb 0.500 0.500 0.332
Pb 0.500 0.500 0.668
Pb 0.500 0.000 0.164
Pb 0.500 0.000 0.500
Pb 0.500 0.000 0.836
Pb 0.000 0.500 0.164
Pb 0.000 0.500 0.500
Pb 0.000 0.500 0.836

The calculation puts the formation energy at -0.419 eV/atom. For the size of the total moment, the calculation gives 0.00 μB per formula unit. The crystal system is tetragonal. The space group is P4/mmm (123). The total DFT energy (no corrections) is -4.42 eV per atom.

***

LaPm5Pb8 after structural relaxation, computed with PBE.

Cell lengths 8.380, 8.380, 8.380 Å; angles 112.40, 103.76, 112.40 degrees
Element x y z (fractional)
La 0.250 0.500 0.750
Pm 0.992 0.414 0.142
Pm 0.858 0.850 0.273
Pm 0.727 0.586 0.577
Pm 0.500 0.000 0.500
Pm 0.423 0.150 0.008
Pb 0.120 0.773 0.038
Pb 0.962 0.083 0.735
Pb 0.782 0.212 0.348
Pb 0.652 0.433 0.864
Pb 0.430 0.567 0.218
Pb 0.652 0.917 0.880
Pb 0.265 0.227 0.348
Pb 0.136 0.788 0.570

The calculation puts the formation energy at -0.409 eV/atom. For the size of the total moment, the calculation gives 0.00 μB per formula unit. The crystal system is tetragonal. The space group is I-4 (82). The total DFT energy (no corrections) is -4.58 eV per atom.

***

La4PmPb after structural relaxation, computed with PBE.

Cell lengths 7.717, 7.700, 9.500 Å; angles 114.47, 114.53, 88.73 degrees
Element x y z (fractional)
La 0.077 0.281 0.064
La 0.487 0.784 0.064
La 0.279 0.474 0.560
La 0.721 0.526 0.440
La 0.219 0.914 0.440
La 0.513 0.216 0.936
La 0.781 0.086 0.560
La 0.923 0.719 0.936
Pm 0.372 0.622 0.244
Pm 0.628 0.378 0.756
Pb 0.125 0.875 0.751
Pb 0.875 0.125 0.249

The calculation puts the formation energy at 0.111 eV/atom. For the size of the total moment, the calculation gives 0.00 μB per formula unit. The crystal system is monoclinic. The space group is C2/c (15). The total DFT energy (no corrections) is -4.58 eV per atom.

***

LaPm3Pb4 after structural relaxation, computed with PBE.

Cell lengths 5.938, 5.942, 8.130 Å; angles 112.07, 111.42, 90.00 degrees
Element x y z (fractional)
Pb 0.372 0.372 0.743
Pb 0.628 0.628 0.257
Pb 0.128 0.127 0.257
Pb 0.872 0.873 0.743
Pm 0.000 0.500 0.000
Pm 0.753 0.253 0.505
Pm 0.247 0.747 0.495
La 0.500 0.000 0.000

The distance to the lowest polymorph of the same formula is 0 meV per atom. The calculation puts the formation energy at -0.499 eV/atom. For the size of the total moment, the calculation gives 0.01 μB per formula unit. The crystal system is monoclinic. The space group is C2/m (12). The total DFT energy (no corrections) is -4.75 eV per atom.

***

La2PmPb after structural relaxation, computed with PBE.

Cell lengths 6.983, 7.076, 7.076 Å; angles 73.62, 60.43, 60.43 degrees
Element x y z (fractional)
La 0.205 0.295 0.795
La 0.295 0.705 0.205
La 0.795 0.705 0.205
La 0.705 0.295 0.795
Pm 0.750 0.183 0.317
Pm 0.250 0.817 0.683
Pb 0.250 0.206 0.294
Pb 0.750 0.794 0.706

The distance to the lowest polymorph of the same formula is 39 meV per atom. The calculation puts the formation energy at -0.330 eV/atom. For the size of the total moment, the calculation gives 0.00 μB per formula unit. The crystal system is orthorhombic. The space group is Imma (74). The total DFT energy (no corrections) is -4.91 eV per atom.

***

La12Pm6Pb after structural relaxation, computed with PBE.

Cell lengths 8.944, 8.944, 8.944 Å; angles 99.07, 99.07, 99.07 degrees
Element x y z (fractional)
La 0.581 0.168 0.581
La 0.168 0.581 0.581
La 0.581 0.581 0.168
La 0.419 0.832 0.419
La 0.832 0.419 0.419
La 0.419 0.419 0.832
La 0.259 0.001 0.741
La 0.259 0.741 0.999
La 0.999 0.259 0.741
La 0.741 0.999 0.259
La 0.741 0.259 0.001
La 0.001 0.741 0.259
Pm 0.136 0.138 0.405
Pm 0.862 0.595 0.864
Pm 0.595 0.864 0.862
Pm 0.864 0.862 0.595
Pm 0.138 0.405 0.136
Pm 0.405 0.136 0.138
Pb 0.000 0.000 0.000

The calculation puts the formation energy at 0.044 eV/atom. For the size of the total moment, the calculation gives 0.00 μB per formula unit. The crystal system is trigonal. The space group is R-3 (148). The total DFT energy (no corrections) is -4.76 eV per atom.

***

La7PmPb4 after structural relaxation, computed with PBE.

Cell lengths 6.064, 10.115, 7.801 Å; angles 80.18, 67.13, 72.56 degrees
Element x y z (fractional)
La 0.794 0.892 0.519
La 0.206 0.108 0.481
La 0.048 0.642 0.262
La 0.952 0.358 0.738
La 0.323 0.591 0.762
La 0.500 0.000 0.000
La 0.677 0.409 0.238
Pm 0.000 0.000 0.000
Pb 0.572 0.231 0.624
Pb 0.428 0.769 0.376
Pb 0.707 0.673 0.913
Pb 0.293 0.327 0.087

The calculation puts the formation energy at -0.236 eV/atom. For the size of the total moment, the calculation gives 0.29 μB per formula unit. The crystal system is monoclinic. The space group is C2/m (12). The total DFT energy (no corrections) is -4.74 eV per atom.